## AlZn3 (PBEsol)

Data for a geometry-optimized AlZn3 structure.

Lattice parameters (Å, degrees): 2.688 4.695 5.422 115.66 104.35 90.00
Element x y z (fractional)
Zn  0.500  0.497  0.000
Zn  0.249  0.585  0.497
Zn  0.751  0.088  0.503
Al  0.000  0.997  0.000

crystal system	orthorhombic
total magnetization	0.00	μB/atom
energy of formation	0.05	eV per atom